# 1
First-principles (PBE) data for crystalline NpSiIr at its relaxed geometry, as listed in Alexandria via LeMat-Bulk.

a b c (Å): 3.4202 4.2984 4.2984
angles (deg): 120.00 90.00 90.00
Closest atoms and distances in Å follow each position.
Sites, in units of the cell vectors:
1 Np 0.6666 0.6667 0.3333  6 Si 3.01, 6 Ir 3.01
2 Si 0.1667 0.0000 0.0000  3 Ir 2.48
3 Ir 0.1667 0.3333 0.6667  3 Si 2.48

## Properties
Formation energy (no corrections) (eV/atom): -0.50
N(E_F) (states/eV/cell): 6.44

# 2
First-principles (PBE) data for crystalline Np2SiIr6 at its relaxed geometry, as listed in Alexandria via LeMat-Bulk.

a b c (Å): 5.5068 5.4641 6.1121
angles (deg): 77.93 90.00 120.26
Closest atoms and distances in Å follow each position.
Sites, in units of the cell vectors:
1 Np 0.6441 0.2882 0.1477  9 Ir 2.89-3.16
2 Np 0.3559 0.7118 0.8523  9 Ir 2.89-3.16
3 Si 0.0000 0.0000 0.0000  6 Ir 2.43-2.46
4 Ir 0.8779 0.2699 0.6896  1 Si 2.46, 3 Ir 2.68-2.74
5 Ir 0.8832 0.7664 0.6860  1 Si 2.43, 2 Ir 2.69
6 Ir 0.3920 0.2699 0.6896  1 Si 2.46, 3 Ir 2.68-2.74
7 Ir 0.1221 0.7301 0.3104  1 Si 2.46, 3 Ir 2.68-2.74
8 Ir 0.1168 0.2336 0.3140  1 Si 2.43, 2 Ir 2.69
9 Ir 0.6080 0.7301 0.3104  1 Si 2.46, 3 Ir 2.68-2.74

## Properties
Formation energy (no corrections) (eV/atom): -0.42
N(E_F) (states/eV/cell): 17.56

# 3
First-principles (PBE) data for crystalline NpSi2Ir5 at its relaxed geometry, as listed in Alexandria via LeMat-Bulk.

a b c (Å): 3.8681 6.1967 6.1967
angles (deg): 67.96 71.81 71.81
Closest atoms and distances in Å follow each position.
Sites, in units of the cell vectors:
1 Np 0.0000 0.0000 0.0000  4 Si 3.09, 8 Ir 3.14
2 Si 0.7527 0.7473 0.7473  7 Ir 2.31-2.58
3 Si 0.2473 0.2527 0.2527  7 Ir 2.31-2.58
4 Ir 0.0000 0.5000 0.5000  2 Si 2.36
5 Ir 0.6433 0.5584 0.1551  3 Si 2.31-2.58
6 Ir 0.3567 0.4416 0.8449  3 Si 2.31-2.58
7 Ir 0.3567 0.8449 0.4416  3 Si 2.31-2.58
8 Ir 0.6433 0.1551 0.5584  3 Si 2.31-2.58

## Properties
Formation energy (no corrections) (eV/atom): -0.54
N(E_F) (states/eV/cell): 11.09

# 4
First-principles (PBE) data for crystalline Np2Si4Ir5 at its relaxed geometry, as listed in Alexandria via LeMat-Bulk.

a b c (Å): 5.5835 5.5412 7.6437
angles (deg): 79.40 68.58 59.75
Closest atoms and distances in Å follow each position.
Sites, in units of the cell vectors:
1 Np 0.8792 0.0000 0.2416  6 Si 3.16-3.32, 10 Ir 3.26-3.33, 1 Np 3.44
2 Np 0.1208 0.0000 0.7584  6 Si 3.16-3.32, 10 Ir 3.26-3.33, 1 Np 3.44
3 Si 0.4786 0.3071 0.7357  5 Ir 2.37-2.52
4 Si 0.5214 0.6929 0.2643  5 Ir 2.37-2.52
5 Si 0.2143 0.3071 0.2643  5 Ir 2.37-2.52
6 Si 0.7857 0.6929 0.7357  5 Ir 2.37-2.52
7 Ir 0.5000 0.0000 0.0000  4 Si 2.39
8 Ir 0.0000 0.5000 0.0000  4 Si 2.52, 4 Ir 2.77-2.79
9 Ir 0.5000 0.5000 0.0000  4 Si 2.52, 4 Ir 2.77-2.79
10 Ir 0.2500 0.5000 0.5000  4 Si 2.37
11 Ir 0.7500 0.5000 0.5000  4 Si 2.37

## Properties
Formation energy (no corrections) (eV/atom): -0.58
N(E_F) (states/eV/cell): 23.78

# 5
First-principles (PBE) data for crystalline NpSi3Ir5 at its relaxed geometry, as listed in Alexandria via LeMat-Bulk.

a b c (Å): 2.8916 6.6805 14.7811
angles (deg): 90.00 90.00 102.50
Closest atoms and distances in Å follow each position.
Sites, in units of the cell vectors:
1 Np 0.8129 0.6259 0.7500  2 Np 2.89, 8 Ir 3.04-3.16, 2 Si 3.13
2 Np 0.1871 0.3741 0.2500  2 Np 2.89, 8 Ir 3.04-3.16, 2 Si 3.13
3 Si 0.3467 0.6934 0.9618  6 Ir 2.37-2.54
4 Si 0.9003 0.8006 0.2500  6 Ir 2.45-2.47
5 Si 0.3467 0.6934 0.5382  6 Ir 2.37-2.54
6 Si 0.6533 0.3066 0.4618  6 Ir 2.37-2.54
7 Si 0.0997 0.1994 0.7500  6 Ir 2.45-2.47
8 Si 0.6533 0.3066 0.0382  6 Ir 2.37-2.54
9 Ir 0.8204 0.6408 0.3997  4 Si 2.37-2.53
10 Ir 0.1796 0.3592 0.8997  4 Si 2.37-2.53
11 Ir 0.0000 0.0000 0.5000  4 Si 2.53, 6 Ir 2.73-2.77
12 Ir 0.0000 0.0000 0.0000  4 Si 2.53, 6 Ir 2.73-2.77
13 Ir 0.5119 0.0239 0.1565  3 Si 2.47-2.54, 3 Ir 2.73-2.76
14 Ir 0.4881 0.9761 0.8435  3 Si 2.47-2.54, 3 Ir 2.73-2.76
15 Ir 0.4881 0.9761 0.6565  3 Si 2.47-2.54, 3 Ir 2.73-2.76
16 Ir 0.8204 0.6408 0.1003  4 Si 2.37-2.53
17 Ir 0.1796 0.3592 0.6003  4 Si 2.37-2.53
18 Ir 0.5119 0.0239 0.3435  3 Si 2.47-2.54, 3 Ir 2.73-2.76

## Properties
Formation energy (no corrections) (eV/atom): -0.43
N(E_F) (states/eV/cell): 15.86

# 6
First-principles (PBE) data for crystalline Np3Si2Ir3 at its relaxed geometry, as listed in Alexandria via LeMat-Bulk.

a b c (Å): 5.5414 7.4811 14.6628
angles (deg): 90.00 90.00 90.00
Closest atoms and distances in Å follow each position.
Sites, in units of the cell vectors:
1 Np 0.1330 0.4748 0.3899  3 Si 2.93-3.07, 6 Ir 2.95-3.12
2 Np 0.6330 0.0252 0.6101  3 Si 2.93-3.07, 6 Ir 2.95-3.12
3 Np 0.8670 0.5252 0.8899  3 Si 2.93-3.07, 6 Ir 2.95-3.12
4 Np 0.3670 0.9748 0.1101  3 Si 2.93-3.07, 6 Ir 2.95-3.12
5 Np 0.8670 0.5252 0.6101  3 Si 2.93-3.07, 6 Ir 2.95-3.12
6 Np 0.3670 0.9748 0.3899  3 Si 2.93-3.07, 6 Ir 2.95-3.12
7 Np 0.1330 0.4748 0.1101  3 Si 2.93-3.07, 6 Ir 2.95-3.12
8 Np 0.6330 0.0252 0.8899  3 Si 2.93-3.07, 6 Ir 2.95-3.12
9 Np 0.5773 0.3185 0.2500  5 Ir 2.90-3.14, 4 Si 3.03-3.10
10 Np 0.0773 0.1815 0.7500  5 Ir 2.90-3.14, 4 Si 3.03-3.10
11 Np 0.4227 0.6815 0.7500  5 Ir 2.90-3.14, 4 Si 3.03-3.10
12 Np 0.9227 0.8185 0.2500  5 Ir 2.90-3.14, 4 Si 3.03-3.10
13 Si 0.8596 0.1186 0.3944  4 Ir 2.40-2.51
14 Si 0.3596 0.3814 0.6056  4 Ir 2.40-2.51
15 Si 0.1404 0.8814 0.8944  4 Ir 2.40-2.51
16 Si 0.6404 0.6186 0.1056  4 Ir 2.40-2.51
17 Si 0.1404 0.8814 0.6056  4 Ir 2.40-2.51
18 Si 0.6404 0.6186 0.3944  4 Ir 2.40-2.51
19 Si 0.8596 0.1186 0.1056  4 Ir 2.40-2.51
20 Si 0.3596 0.3814 0.8944  4 Ir 2.40-2.51
21 Ir 0.0839 0.1908 0.2500  2 Si 2.51
22 Ir 0.5839 0.3092 0.7500  2 Si 2.51
23 Ir 0.9161 0.8092 0.7500  2 Si 2.51
24 Ir 0.4161 0.6908 0.2500  2 Si 2.51
25 Ir 0.5850 0.3258 0.4640  3 Si 2.40-2.46
26 Ir 0.0850 0.1742 0.5360  3 Si 2.40-2.46
27 Ir 0.4150 0.6742 0.9640  3 Si 2.40-2.46
28 Ir 0.9150 0.8258 0.0360  3 Si 2.40-2.46
29 Ir 0.4150 0.6742 0.5360  3 Si 2.40-2.46
30 Ir 0.9150 0.8258 0.4640  3 Si 2.40-2.46
31 Ir 0.5850 0.3258 0.0360  3 Si 2.40-2.46
32 Ir 0.0850 0.1742 0.9640  3 Si 2.40-2.46

## Properties
Formation energy (no corrections) (eV/atom): -0.50
N(E_F) (states/eV/cell): 83.21

| no. | E_tot (eV per atom) |
| --- | --- |
| 1 | -9.579 |
| 2 | -9.805 |
| 3 | -9.055 |
| 4 | -8.931 |
| 5 | -8.603 |
| 6 | -10.027 |